Here is crystalline KPtBr at its relaxed geometry from Alexandria via LeMat-Bulk. Energies are from PBE.

E: -3.58 eV per atom
Offset from the most stable computed form: 29.2 meV/atom
Formation energy without anion corrections: -642 meV per atom
Space-group type: Cm, No. 8

Cell: 6.117 6.117 8.013 Å, 105.21 105.21 36.63°
Fractional positions:
K1 0.000 0.000 0.000
K2 0.630 0.630 0.490
Pt1 0.316 0.316 0.172
Pt2 0.878 0.878 0.393
Br1 0.394 0.394 0.625
Br2 0.721 0.721 0.954

Here is crystalline MgSc2P2 at its relaxed geometry from Alexandria via LeMat-Bulk. Energies are from PBE.

E: -5.76 eV per atom
Offset from the most stable computed form: 353.8 meV/atom
Formation energy: -0.74 eV/atom
Space-group type: P4/mbm, No. 127

Cell: 7.414 7.414 3.393 Å, 90.00 90.00 90.00°
Fractional positions:
Mg1 0.000 0.000 0.000
Mg2 0.500 0.500 0.000
Sc1 0.141 0.359 0.000
Sc2 0.359 0.859 0.000
Sc3 0.641 0.141 0.000
Sc4 0.859 0.641 0.000
P1 0.162 0.662 0.500
P2 0.338 0.162 0.500
P3 0.662 0.838 0.500
P4 0.838 0.338 0.500

Here is crystalline Al2ZnICl at its relaxed geometry from Alexandria via LeMat-Bulk. Energies are from PBE.

E: -2.23 eV per atom
Formation energy without anion corrections: 198 meV per atom
Space-group type: P4/mmm, No. 123

Cell: 5.117 5.117 5.344 Å, 90.00 90.00 90.00°
Fractional positions:
Al1 0.000 0.500 0.000
Al2 0.500 0.000 0.000
Zn1 0.000 0.000 0.000
I1 0.000 0.000 0.500
Cl1 0.500 0.500 0.500

Here is crystalline BaPuAl at its relaxed geometry from Alexandria via LeMat-Bulk. Energies are from PBE.

E: -6.48 eV per atom
Formation energy: 0.19 eV/atom
Space-group type: Cmcm, No. 63

Cell: 11.848 11.848 3.843 Å, 90.00 90.00 158.01°
Fractional positions:
Ba1 0.171 0.829 0.750
Ba2 0.829 0.171 0.250
Pu1 0.029 0.971 0.250
Pu2 0.971 0.029 0.750
Al1 0.449 0.551 0.250
Al2 0.551 0.449 0.750

Here is crystalline Ta2MnIn at its relaxed geometry from Alexandria via LeMat-Bulk. Energies are from PBE.

E: -8.72 eV per atom
Formation energy: 0.19 eV/atom
Space-group type: P2/m, No. 10

Cell: 2.974 3.963 5.919 Å, 90.00 97.23 90.00°
Fractional positions:
Ta1 0.074 0.000 0.283
Ta2 0.926 0.000 0.717
Mn1 0.500 0.500 0.500
In1 0.500 0.500 0.000

Here is crystalline Na3GaS3 at its relaxed geometry from Alexandria via LeMat-Bulk. Energies are from PBE.

E: -3.80 eV per atom
Offset from the most stable computed form: 5.9 meV/atom
Formation energy without anion corrections: -1030 meV per atom
Space-group type: P2_1/c, No. 14

Cell: 8.049 7.208 11.221 Å, 90.00 97.14 90.00°
Fractional positions:
Na1 0.087 0.159 0.126
Na2 0.087 0.341 0.626
Na3 0.321 0.739 0.796
Na4 0.321 0.761 0.296
Na5 0.398 0.225 0.921
Na6 0.398 0.275 0.421
Na7 0.602 0.725 0.579
Na8 0.602 0.775 0.079
Na9 0.679 0.239 0.704
Na10 0.679 0.261 0.204
Na11 0.913 0.659 0.374
Na12 0.913 0.841 0.874
Ga1 0.176 0.584 0.052
Ga2 0.176 0.916 0.552
Ga3 0.824 0.084 0.448
Ga4 0.824 0.416 0.948
S1 0.083 0.061 0.369
S2 0.083 0.439 0.869
S3 0.254 0.621 0.521
S4 0.254 0.879 0.021
S5 0.370 0.081 0.667
S6 0.370 0.419 0.167
S7 0.630 0.581 0.833
S8 0.630 0.919 0.333
S9 0.746 0.121 0.979
S10 0.746 0.379 0.479
S11 0.917 0.561 0.131
S12 0.917 0.939 0.631

Repeat the sixth record exactly.
Here is crystalline Na3GaS3 at its relaxed geometry from Alexandria via LeMat-Bulk. Energies are from PBE.

E: -3.80 eV per atom
Offset from the most stable computed form: 5.9 meV/atom
Formation energy without anion corrections: -1030 meV per atom
Space-group type: P2_1/c, No. 14

Cell: 8.049 7.208 11.221 Å, 90.00 97.14 90.00°
Fractional positions:
Na1 0.087 0.159 0.126
Na2 0.087 0.341 0.626
Na3 0.321 0.739 0.796
Na4 0.321 0.761 0.296
Na5 0.398 0.225 0.921
Na6 0.398 0.275 0.421
Na7 0.602 0.725 0.579
Na8 0.602 0.775 0.079
Na9 0.679 0.239 0.704
Na10 0.679 0.261 0.204
Na11 0.913 0.659 0.374
Na12 0.913 0.841 0.874
Ga1 0.176 0.584 0.052
Ga2 0.176 0.916 0.552
Ga3 0.824 0.084 0.448
Ga4 0.824 0.416 0.948
S1 0.083 0.061 0.369
S2 0.083 0.439 0.869
S3 0.254 0.621 0.521
S4 0.254 0.879 0.021
S5 0.370 0.081 0.667
S6 0.370 0.419 0.167
S7 0.630 0.581 0.833
S8 0.630 0.919 0.333
S9 0.746 0.121 0.979
S10 0.746 0.379 0.479
S11 0.917 0.561 0.131
S12 0.917 0.939 0.631